VASP calculation (PBE) on a relaxed structure of CdSb5.

Symmetry: No. 189
Offset from the most stable computed form (eV/atom): 0.0588
Raw formation energy (meV/atom): 227
Total magnetic moment (Bohr magnetons per cell): 0.0
Calculated volume (Å³/atom): 27.18
N(E_F) (states/eV per atom): 0.707

abc: 5.8393 5.8393 5.5230
angles: 90.00 90.00 120.00
Closest atoms and distances in Å follow each position.
Fractional positions:
Cd  0.0000  0.0000  0.5000  12 Sb 3.29-3.37
Sb  0.0000  0.6935  0.0000  6 Sb 3.10-3.43, 2 Cd 3.29
Sb  0.3333  0.6667  0.5000  3 Cd 3.37, 9 Sb 3.37-3.43
Sb  0.3065  0.3065  0.0000  6 Sb 3.10-3.43, 2 Cd 3.29
Sb  0.6935  0.0000  0.0000  6 Sb 3.10-3.43, 2 Cd 3.29
Sb  0.6667  0.3333  0.5000  3 Cd 3.37, 9 Sb 3.37-3.43

***

VASP calculation (PBE) on a relaxed structure of Cd8Sb.

Symmetry: No. 139
Raw formation energy (meV/atom): 48
Total magnetic moment (Bohr magnetons per cell): 0.0
Calculated volume (Å³/atom): 23.89
N(E_F) (states/eV per atom): 0.304

abc: 2.9823 8.6209 8.6209
angles: 88.29 80.04 80.04
Closest atoms and distances in Å follow each position.
Fractional positions:
Cd  0.3364  0.6636  0.6636  10 Cd 2.98-3.22
Cd  0.6711  0.0000  0.6579  8 Cd 2.98-3.22, 2 Sb 3.27
Cd  0.0000  0.6636  0.3364  10 Cd 2.98-3.22
Cd  0.3289  0.3421  0.0000  8 Cd 2.98-3.22, 2 Sb 3.27
Cd  0.6711  0.6579  0.0000  8 Cd 2.98-3.22, 2 Sb 3.27
Cd  0.0000  0.3364  0.6636  10 Cd 2.98-3.22
Cd  0.6636  0.3364  0.3364  10 Cd 2.98-3.22
Cd  0.3289  0.0000  0.3421  8 Cd 2.98-3.22, 2 Sb 3.27
Sb  0.0000  0.0000  0.0000  2 Sb 2.98, 8 Cd 3.27

***

VASP calculation (PBE) on a relaxed structure of CdSb3.

Symmetry: No. 123
Offset from the most stable computed form (eV/atom): 0.1503
Raw formation energy (meV/atom): 206
Total magnetic moment (Bohr magnetons per cell): 0.0
Calculated volume (Å³/atom): 26.53
N(E_F) (states/eV per atom): 0.609

abc: 5.2523 5.2523 3.8472
angles: 90.00 90.00 90.00
Closest atoms and distances in Å follow each position.
Fractional positions:
Sb  0.5000  0.0000  0.5000  4 Sb 3.26, 4 Cd 3.26
Sb  0.5000  0.5000  0.0000  8 Sb 3.26
Sb  0.0000  0.5000  0.5000  4 Cd 3.26, 4 Sb 3.26
Cd  0.0000  0.0000  0.0000  8 Sb 3.26

***

VASP calculation (PBE) on a relaxed structure of CdSb.

Symmetry: No. 166
Offset from the most stable computed form (eV/atom): 0.1169
Raw formation energy (meV/atom): 71
Total magnetic moment (Bohr magnetons per cell): 0.0
Calculated volume (Å³/atom): 28.59
N(E_F) (states/eV per atom): 0.281

abc: 7.4708 7.4708 7.4708
angles: 33.70 33.70 33.70
Closest atoms and distances in Å follow each position.
Fractional positions:
Sb  0.8738  0.8738  0.8738  3 Sb 3.03, 3 Cd 3.10
Sb  0.1262  0.1262  0.1262  3 Sb 3.03, 3 Cd 3.10
Cd  0.6275  0.6275  0.6275  3 Cd 3.00, 3 Sb 3.10
Cd  0.3725  0.3725  0.3725  3 Cd 3.00, 3 Sb 3.10

***

VASP calculation (PBE) on a relaxed structure of Cd5Sb.

Symmetry: No. 8
Offset from the most stable computed form (eV/atom): 0.0000
Raw formation energy (meV/atom): 37
Total magnetic moment (Bohr magnetons per cell): 0.0
Calculated volume (Å³/atom): 23.63
N(E_F) (states/eV per atom): 0.345

abc: 7.1325 7.1325 6.6678
angles: 76.24 76.24 25.53
Closest atoms and distances in Å follow each position.
Fractional positions:
Cd  0.6373  0.6373  0.2341  10 Cd 3.10-3.46, 2 Sb 3.26
Cd  0.6304  0.6304  0.7190  10 Cd 3.11-3.46, 2 Sb 3.32
Cd  0.3055  0.3055  0.3883  10 Cd 3.15-3.26, 2 Sb 3.33
Cd  0.9807  0.9807  0.0597  10 Cd 3.11-3.46, 2 Sb 3.33
Cd  0.9738  0.9738  0.5440  10 Cd 3.10-3.46, 2 Sb 3.26
Sb  0.3056  0.3056  0.8882  2 Sb 3.15, 10 Cd 3.26-3.33

***

VASP calculation (PBE) on a relaxed structure of CdSb.

Symmetry: No. 83
Offset from the most stable computed form (eV/atom): 0.1038
Raw formation energy (meV/atom): 57
Total magnetic moment (Bohr magnetons per cell): 0.0
Calculated volume (Å³/atom): 26.73
N(E_F) (states/eV per atom): 0.442

abc: 11.6653 11.6653 3.1425
angles: 90.00 90.00 90.00
Closest atoms and distances in Å follow each position.
Fractional positions:
Cd  0.8749  0.6358  0.5000  3 Sb 3.04-3.28, 6 Cd 3.14-3.17
Cd  0.5979  0.8918  0.0000  3 Sb 3.07-3.31, 7 Cd 3.14-3.40
Cd  0.6358  0.1251  0.5000  3 Sb 3.04-3.28, 6 Cd 3.14-3.17
Cd  0.1082  0.5979  0.0000  3 Sb 3.07-3.31, 7 Cd 3.14-3.40
Cd  0.3642  0.8749  0.5000  3 Sb 3.04-3.28, 6 Cd 3.14-3.17
Cd  0.8918  0.4021  0.0000  3 Sb 3.07-3.31, 7 Cd 3.14-3.40
Cd  0.1251  0.3642  0.5000  3 Sb 3.04-3.28, 6 Cd 3.14-3.17
Cd  0.4021  0.1082  0.0000  3 Sb 3.07-3.31, 7 Cd 3.14-3.40
Sb  0.6141  0.6425  0.5000  4 Sb 3.01-3.14, 3 Cd 3.04-3.31
Sb  0.3575  0.6141  0.5000  4 Sb 3.01-3.14, 3 Cd 3.04-3.31
Sb  0.1174  0.8606  0.0000  4 Sb 3.01-3.14, 3 Cd 3.07-3.28
Sb  0.1394  0.1174  0.0000  4 Sb 3.01-3.14, 3 Cd 3.07-3.28
Sb  0.6425  0.3859  0.5000  4 Sb 3.01-3.14, 3 Cd 3.04-3.31
Sb  0.3859  0.3575  0.5000  4 Sb 3.01-3.14, 3 Cd 3.04-3.31
Sb  0.8606  0.8826  0.0000  4 Sb 3.01-3.14, 3 Cd 3.07-3.28
Sb  0.8826  0.1394  0.0000  4 Sb 3.01-3.14, 3 Cd 3.07-3.28

***

VASP calculation (PBE) on a relaxed structure of Cd3Sb2.

Symmetry: No. 167
Raw formation energy (meV/atom): 13
Total magnetic moment (Bohr magnetons per cell): 0.0
Calculated volume (Å³/atom): 27.73
N(E_F) (states/eV per atom): 0.100

abc: 7.4261 7.4269 7.2185
angles: 59.03 59.04 60.00
Closest atoms and distances in Å follow each position.
Fractional positions:
Sb  0.5990  0.5989  0.7031  6 Cd 2.89-3.18
Sb  0.9010  0.9011  0.7969  6 Cd 2.89-3.18
Sb  0.4010  0.4011  0.2969  6 Cd 2.89-3.18
Sb  0.0990  0.0989  0.2031  6 Cd 2.89-3.18
Cd  0.2499  0.4908  0.7500  4 Sb 2.89-3.18, 2 Cd 3.10
Cd  0.4908  0.0092  0.7500  4 Sb 2.89-3.18, 2 Cd 3.10
Cd  0.0093  0.2500  0.7500  4 Sb 2.89-3.18, 2 Cd 3.10
Cd  0.9907  0.7500  0.2500  4 Sb 2.89-3.18, 2 Cd 3.10
Cd  0.5092  0.9908  0.2500  4 Sb 2.89-3.18, 2 Cd 3.10
Cd  0.7501  0.5092  0.2500  4 Sb 2.89-3.18, 2 Cd 3.10

***

VASP calculation (PBE) on a relaxed structure of Cd5Sb4.

Symmetry: No. 193
Offset from the most stable computed form (eV/atom): 0.0000
Raw formation energy (meV/atom): 113
Total magnetic moment (Bohr magnetons per cell): 0.0
Calculated volume (Å³/atom): 28.02
N(E_F) (states/eV per atom): 0.181

abc: 9.2984 9.2984 6.7367
angles: 90.00 90.00 120.00
Closest atoms and distances in Å follow each position.
Fractional positions:
Cd  0.2624  0.2624  0.2500  3 Sb 2.77-2.96
Cd  0.6667  0.3333  0.0000  6 Sb 3.22, 2 Cd 3.37
Cd  0.0000  0.7376  0.2500  3 Sb 2.77-2.96
Cd  0.3333  0.6667  0.5000  6 Sb 3.22, 2 Cd 3.37
Cd  0.7376  0.0000  0.2500  3 Sb 2.77-2.96
Cd  0.6667  0.3333  0.5000  6 Sb 3.22, 2 Cd 3.37
Cd  0.3333  0.6667  0.0000  6 Sb 3.22, 2 Cd 3.37
Cd  0.2624  0.0000  0.7500  3 Sb 2.77-2.96
Cd  0.0000  0.2624  0.7500  3 Sb 2.77-2.96
Cd  0.7376  0.7376  0.7500  3 Sb 2.77-2.96
Sb  0.5609  0.5609  0.2500  1 Cd 2.77
Sb  0.4391  0.0000  0.2500  1 Cd 2.77
Sb  0.4391  0.4391  0.7500  1 Cd 2.77
Sb  0.0000  0.0000  0.5000  6 Cd 2.96
Sb  0.5609  0.0000  0.7500  1 Cd 2.77
Sb  0.0000  0.5609  0.7500  1 Cd 2.77
Sb  0.0000  0.0000  0.0000  6 Cd 2.96
Sb  0.0000  0.4391  0.2500  1 Cd 2.77

***

VASP calculation (PBE) on a relaxed structure of CdSb.

Symmetry: No. 198
Offset from the most stable computed form (eV/atom): 0.1547
Raw formation energy (meV/atom): 108
Total magnetic moment (Bohr magnetons per cell): 0.0
Calculated volume (Å³/atom): 27.10
N(E_F) (states/eV per atom): 0.687

abc: 6.0074 6.0074 6.0074
angles: 90.00 90.00 90.00
Closest atoms and distances in Å follow each position.
Fractional positions:
Sb  0.4709  0.9709  0.5291  6 Cd 3.02-3.03
Sb  0.5291  0.4709  0.9709  6 Cd 3.02-3.03
Sb  0.9709  0.5291  0.4709  6 Cd 3.02-3.03
Sb  0.0291  0.0291  0.0291  6 Cd 3.02-3.03
Cd  0.4694  0.4694  0.4694  6 Sb 3.02-3.03
Cd  0.5306  0.9694  0.0306  6 Sb 3.02-3.03
Cd  0.0306  0.5306  0.9694  6 Sb 3.02-3.03
Cd  0.9694  0.0306  0.5306  6 Sb 3.02-3.03

***

VASP calculation (PBE) on a relaxed structure of Cd3Sb2.

Symmetry: No. 60
Raw formation energy (meV/atom): 17
Total magnetic moment (Bohr magnetons per cell): 0.0
Calculated volume (Å³/atom): 28.77
N(E_F) (states/eV per atom): 0.201

abc: 7.2677 7.0622 11.2089
angles: 90.00 90.00 90.00
Closest atoms and distances in Å follow each position.
Fractional positions:
Sb  0.7320  0.5575  0.6398  6 Cd 2.90-3.14
Sb  0.2680  0.0575  0.6398  6 Cd 2.90-3.14
Sb  0.2680  0.4425  0.3602  6 Cd 2.90-3.14
Sb  0.2320  0.9425  0.1398  6 Cd 2.90-3.14
Sb  0.7320  0.9425  0.3602  6 Cd 2.90-3.14
Sb  0.2320  0.5575  0.8602  6 Cd 2.90-3.14
Sb  0.7680  0.0575  0.8602  6 Cd 2.90-3.14
Sb  0.7680  0.4425  0.1398  6 Cd 2.90-3.14
Cd  0.4311  0.7500  0.5000  4 Sb 2.93-3.01
Cd  0.8820  0.9476  0.6225  4 Sb 2.90-3.14
Cd  0.6180  0.4476  0.8775  4 Sb 2.90-3.14
Cd  0.0689  0.2500  0.0000  4 Sb 2.93-3.01
Cd  0.3820  0.5524  0.1225  4 Sb 2.90-3.14
Cd  0.9311  0.7500  0.0000  4 Sb 2.93-3.01
Cd  0.6180  0.0524  0.1225  4 Sb 2.90-3.14
Cd  0.1180  0.0524  0.3775  4 Sb 2.90-3.14
Cd  0.5689  0.2500  0.5000  4 Sb 2.93-3.01
Cd  0.1180  0.4476  0.6225  4 Sb 2.90-3.14
Cd  0.8820  0.5524  0.3775  4 Sb 2.90-3.14
Cd  0.3820  0.9476  0.8775  4 Sb 2.90-3.14

***

VASP calculation (PBE) on a relaxed structure of CdSb.

Symmetry: No. 136
Offset from the most stable computed form (eV/atom): 0.1447
Raw formation energy (meV/atom): 98
Total magnetic moment (Bohr magnetons per cell): 0.0
Calculated volume (Å³/atom): 35.19
N(E_F) (states/eV per atom): 0.209

abc: 7.4255 7.4255 5.1064
angles: 90.00 90.00 90.00
Closest atoms and distances in Å follow each position.
Fractional positions:
Cd  0.7423  0.2577  0.0000  4 Sb 2.82-2.96
Cd  0.7577  0.7577  0.5000  4 Sb 2.82-2.96
Cd  0.2423  0.2423  0.5000  4 Sb 2.82-2.96
Cd  0.2577  0.7423  0.0000  4 Sb 2.82-2.96
Sb  0.1439  0.8561  0.5000  4 Cd 2.82-2.96, 1 Sb 3.02
Sb  0.8561  0.1439  0.5000  4 Cd 2.82-2.96, 1 Sb 3.02
Sb  0.3561  0.3561  0.0000  4 Cd 2.82-2.96, 1 Sb 3.02
Sb  0.6439  0.6439  0.0000  4 Cd 2.82-2.96, 1 Sb 3.02

***

VASP calculation (PBE) on a relaxed structure of Cd3Sb.

Symmetry: No. 225
Offset from the most stable computed form (eV/atom): 0.0874
Raw formation energy (meV/atom): 135
Total magnetic moment (Bohr magnetons per cell): 0.0
Calculated volume (Å³/atom): 25.20
N(E_F) (states/eV per atom): 0.864

abc: 5.2240 5.2240 5.2240
angles: 60.00 60.00 60.00
Closest atoms and distances in Å follow each position.
Fractional positions:
Cd  0.0000  0.0000  0.0000  4 Cd 3.20, 4 Sb 3.20
Cd  0.5000  0.5000  0.5000  4 Sb 3.20, 4 Cd 3.20
Cd  0.7500  0.7500  0.7500  8 Cd 3.20
Sb  0.2500  0.2500  0.2500  8 Cd 3.20